1.
Computed, not measured: a relaxed structure of GaGeMo at the PBE level of DFT.

Geometry as POSCAR:
```
GaGeMo
1.0
0.000 2.992 2.992
2.992 0.000 2.992
2.992 2.992 0.000
Ga Ge Mo
1 1 1
direct
0.000 0.000 0.000 Ga
0.250 0.250 0.250 Ge
0.500 0.500 0.500 Mo
```

Results
crystal system = cubic
SG = No. 216
excess energy over the best structure of this formula in the dataset = 0.00 kJ/mol of atoms

---

2.
Computed, not measured: a relaxed structure of Ga40GeMo8 at the PBE level of DFT.

Geometry as POSCAR:
```
Ga40GeMo8
1.0
7.022 4.054 5.136
-7.022 4.054 5.136
0.000 -8.108 5.136
Ga Ge Mo
40 1 8
direct
0.000 0.000 0.000 Ga
0.000 0.000 0.500 Ga
0.000 0.500 0.000 Ga
0.032 0.173 0.279 Ga
0.052 0.721 0.424 Ga
0.101 0.469 0.287 Ga
0.110 0.767 0.134 Ga
0.134 0.110 0.767 Ga
0.173 0.279 0.032 Ga
0.181 0.625 0.678 Ga
0.233 0.866 0.890 Ga
0.247 0.375 0.550 Ga
0.279 0.032 0.173 Ga
0.279 0.576 0.948 Ga
0.287 0.101 0.469 Ga
0.322 0.819 0.375 Ga
0.375 0.322 0.819 Ga
0.375 0.550 0.247 Ga
0.424 0.052 0.721 Ga
0.450 0.753 0.625 Ga
0.469 0.287 0.101 Ga
0.500 0.000 0.000 Ga
0.531 0.713 0.899 Ga
0.550 0.247 0.375 Ga
0.576 0.948 0.279 Ga
0.625 0.450 0.753 Ga
0.625 0.678 0.181 Ga
0.678 0.181 0.625 Ga
0.713 0.899 0.531 Ga
0.721 0.424 0.052 Ga
0.721 0.968 0.827 Ga
0.753 0.625 0.450 Ga
0.767 0.134 0.110 Ga
0.819 0.375 0.322 Ga
0.827 0.721 0.968 Ga
0.866 0.890 0.233 Ga
0.890 0.233 0.866 Ga
0.899 0.531 0.713 Ga
0.948 0.279 0.576 Ga
0.968 0.827 0.721 Ga
0.500 0.500 0.500 Ge
0.114 0.389 0.789 Mo
0.211 0.886 0.611 Mo
0.287 0.287 0.287 Mo
0.389 0.789 0.114 Mo
0.611 0.211 0.886 Mo
0.713 0.713 0.713 Mo
0.789 0.114 0.389 Mo
0.886 0.611 0.211 Mo
```

Results
crystal system = trigonal
VASP energy = -4.471 eV/atom
SG = No. 148

---

3.
Computed, not measured: a relaxed structure of Nb4GaGeN2 at the PBE level of DFT.

Geometry as POSCAR:
```
Nb4GaGeN2
1.0
3.043 0.000 0.000
-1.522 2.635 0.000
0.000 0.000 14.005
Nb Ga Ge N
4 1 1 2
direct
0.000 0.000 0.153 Nb
0.000 0.000 0.847 Nb
0.667 0.333 0.343 Nb
0.667 0.333 0.657 Nb
0.000 0.000 0.500 Ga
0.667 0.333 0.000 Ge
0.333 0.667 0.248 N
0.333 0.667 0.752 N
```

Results
crystal system = hexagonal
VASP energy = -8.715 eV/atom
SG = No. 187

---

Number 1: total moment 0.33 μB/cell. Number 2: total moment 0.02 μB/cell. Number 3: total moment 0.02 μB/cell.